Entry from Alexandria: MnCd3Ir after structural relaxation (PBE).

Structure (CIF):
```
data_MnCd3Ir
_cell_length_a 5.1670
_cell_length_b 5.1670
_cell_length_c 5.1670
_cell_angle_alpha 90.00
_cell_angle_beta 90.00
_cell_angle_gamma 90.00
_symmetry_space_group_name_H-M 'P 1'
_symmetry_Int_Tables_number 1
_symmetry_space_group_name_Hall 'P 1'
loop_
_atom_site_label
_atom_site_type_symbol
_atom_site_fract_x
_atom_site_fract_y
_atom_site_fract_z
_atom_site_occupancy
Ir1 Ir 0.0000 0.0000 0.0000 1
Mn1 Mn 0.5000 0.5000 0.5000 1
Cd1 Cd 0.0000 0.5000 0.0000 1
Cd2 Cd 0.0000 0.0000 0.5000 1
Cd3 Cd 0.5000 0.0000 0.0000 1
```

Results
- density (Mg/m³) = 7.03
- magnetic moment (Bohr magnetons per cell) = 5.17
- space-group type = Pm-3m (221)
- formation enthalpy at 0 K (eV/atom) = 0.726

***

Entry from Alexandria: Rb2SiP4O13 after structural relaxation (PBE).

Structure (CIF):
```
data_Rb2SiP4O13
_cell_length_a 4.9323
_cell_length_b 7.9010
_cell_length_c 15.4809
_cell_angle_alpha 83.82
_cell_angle_beta 83.56
_cell_angle_gamma 81.68
_symmetry_space_group_name_H-M 'P 1'
_symmetry_Int_Tables_number 1
_symmetry_space_group_name_Hall 'P 1'
loop_
_atom_site_label
_atom_site_type_symbol
_atom_site_fract_x
_atom_site_fract_y
_atom_site_fract_z
_atom_site_occupancy
Rb1 Rb 0.7223 0.6975 0.9741 1
Rb2 Rb 0.2777 0.3025 0.0259 1
Rb3 Rb 0.3162 0.2588 0.5099 1
Rb4 Rb 0.6838 0.7412 0.4901 1
Si1 Si 0.4622 0.0548 0.7577 1
Si2 Si 0.5378 0.9452 0.2423 1
P1 P 0.6779 0.3193 0.2100 1
P2 P 0.3221 0.6807 0.7900 1
P3 P 0.1013 0.7969 0.1509 1
P4 P 0.3252 0.5998 0.3054 1
P5 P 0.9718 0.0912 0.3368 1
P6 P 0.0282 0.9088 0.6632 1
P7 P 0.8987 0.2031 0.8491 1
P8 P 0.6748 0.4002 0.6946 1
O1 O 0.8110 0.2745 0.9345 1
O2 O 0.2806 0.0178 0.3279 1
O3 O 0.5156 0.5872 0.7132 1
O4 O 0.4844 0.4128 0.2868 1
O5 O 0.4636 0.2727 0.7110 1
O6 O 0.7940 0.8746 0.1578 1
O7 O 0.5405 0.1634 0.1954 1
O8 O 0.1890 0.7255 0.0655 1
O9 O 0.2792 0.9306 0.1730 1
O10 O 0.7208 0.0694 0.8270 1
O11 O 0.7364 0.4344 0.1304 1
O12 O 0.4595 0.8366 0.8046 1
O13 O 0.2060 0.1254 0.8422 1
O14 O 0.7194 0.9822 0.6721 1
O15 O 0.1829 0.5811 0.3948 1
O16 O 0.1229 0.8432 0.5768 1
O17 O 0.8763 0.3582 0.7699 1
O18 O 0.0522 0.7518 0.7423 1
O19 O 0.8171 0.4189 0.6052 1
O20 O 0.5364 0.7273 0.2890 1
O21 O 0.2636 0.5656 0.8696 1
O22 O 0.9478 0.2482 0.2577 1
O23 O 0.8771 0.1568 0.4232 1
O24 O 0.7961 0.9587 0.3122 1
O25 O 0.2039 0.0413 0.6878 1
O26 O 0.1237 0.6418 0.2301 1
```

Results
- density (Mg/m³) = 2.99
- VASP energy (eV per formula unit) = -139.1
- magnetic moment (Bohr magnetons per cell) = 0.00
- space-group type = P-1 (2)

***

Entry from Alexandria: KCu3S after structural relaxation (PBE).

Structure (CIF):
```
data_KCu3S
_cell_length_a 4.6663
_cell_length_b 4.6663
_cell_length_c 4.6663
_cell_angle_alpha 90.00
_cell_angle_beta 90.00
_cell_angle_gamma 90.00
_symmetry_space_group_name_H-M 'P 1'
_symmetry_Int_Tables_number 1
_symmetry_space_group_name_Hall 'P 1'
loop_
_atom_site_label
_atom_site_type_symbol
_atom_site_fract_x
_atom_site_fract_y
_atom_site_fract_z
_atom_site_occupancy
K1 K 0.5000 0.5000 0.5000 1
S1 S 0.0000 0.0000 0.0000 1
Cu1 Cu 0.0000 0.5000 0.0000 1
Cu2 Cu 0.0000 0.0000 0.5000 1
Cu3 Cu 0.5000 0.0000 0.0000 1
```

Results
- density (Mg/m³) = 4.28
- VASP energy (eV per formula unit) = -15.8
- magnetic moment (Bohr magnetons per cell) = 0.00
- space-group type = Pm-3m (221)

***

Entry from Alexandria: TcTeRh after structural relaxation (PBE).

Structure (CIF):
```
data_TcTeRh
_cell_length_a 4.3444
_cell_length_b 4.3444
_cell_length_c 4.3444
_cell_angle_alpha 60.00
_cell_angle_beta 60.00
_cell_angle_gamma 60.00
_symmetry_space_group_name_H-M 'P 1'
_symmetry_Int_Tables_number 1
_symmetry_space_group_name_Hall 'P 1'
loop_
_atom_site_label
_atom_site_type_symbol
_atom_site_fract_x
_atom_site_fract_y
_atom_site_fract_z
_atom_site_occupancy
Rh1 Rh 0.5000 0.5000 0.5000 1
Tc1 Tc 0.7500 0.7500 0.7500 1
Te1 Te 0.0000 0.0000 0.0000 1
```

Results
- density (Mg/m³) = 9.41
- VASP energy (eV per formula unit) = -20.4
- magnetic moment (Bohr magnetons per cell) = 0.00
- space-group type = F-43m (216)